Entry from the Alexandria database: a crystal of SrSiGe relaxed with PBEsol (meta-GGA SCAN).

Computed properties:
Its space-group type is P-6m2 (187). For the formation energy from raw total energies, the calculation gives -355 meV per atom.

a = 4.269 Å, b = 4.269 Å, c = 4.445 Å
α = 90.00°, β = 90.00°, γ = 120.00°
Positions (direct):
Sr 0.333 0.667 0.000
Ge 0.000 0.000 0.500
Si 0.667 0.333 0.500



Entry from the Alexandria database: a crystal of TaSi2Ge relaxed with PBEsol (meta-GGA SCAN).

Computed properties:
Its space-group type is I-42d (122). For the formation energy from raw total energies, the calculation gives 471 meV per atom.

a = 7.057 Å, b = 7.057 Å, c = 5.652 Å
α = 128.63°, β = 128.63°, γ = 90.00°
Positions (direct):
Ge 0.750 0.250 0.500
Ge 0.500 0.500 0.000
Si 0.379 0.875 0.250
Si 0.871 0.375 0.250
Si 0.125 0.129 0.750
Si 0.625 0.621 0.750
Ta 0.250 0.750 0.500
Ta 0.000 0.000 0.000



Entry from the Alexandria database: a crystal of Ta2Si2Ge relaxed with PBEsol (meta-GGA SCAN).

Computed properties:
Its space-group type is I4/mmm (139). For the formation energy from raw total energies, the calculation gives -199 meV per atom.

a = 3.400 Å, b = 3.400 Å, c = 7.299 Å
α = 103.47°, β = 103.47°, γ = 90.00°
Positions (direct):
Ge 0.000 0.000 0.000
Si 0.250 0.750 0.500
Si 0.750 0.250 0.500
Ta 0.396 0.396 0.793
Ta 0.604 0.604 0.207



Entry from the Alexandria database: a crystal of Tb2SiGe relaxed with PBEsol (meta-GGA SCAN).

Computed properties:
Its space-group type is Amm2 (38). For the formation energy from raw total energies, the calculation gives -898 meV per atom.

a = 3.854 Å, b = 4.258 Å, c = 5.691 Å
α = 111.97°, β = 90.00°, γ = 90.00°
Positions (direct):
Ge 0.500 0.579 0.159
Tb 0.500 0.861 0.721
Tb 0.000 0.140 0.281
Si 0.000 0.420 0.839



Entry from the Alexandria database: a crystal of Si2TcGe relaxed with PBEsol (meta-GGA SCAN).

Computed properties:
Its space-group type is I-42d (122). For the formation energy from raw total energies, the calculation gives 588 meV per atom.

a = 5.721 Å, b = 5.721 Å, c = 6.414 Å
α = 116.48°, β = 116.48°, γ = 90.00°
Positions (direct):
Ge 0.750 0.250 0.500
Ge 0.500 0.500 0.000
Si 0.361 0.875 0.250
Si 0.889 0.375 0.250
Si 0.125 0.111 0.750
Si 0.625 0.639 0.750
Tc 0.250 0.750 0.500
Tc 0.000 0.000 0.000



Entry from the Alexandria database: a crystal of Si2Tc2Ge relaxed with PBEsol (meta-GGA SCAN).

Computed properties:
Its space-group type is I4/mmm (139). For the formation energy from raw total energies, the calculation gives 166 meV per atom.

a = 4.400 Å, b = 4.400 Å, c = 5.075 Å
α = 115.69°, β = 115.69°, γ = 90.00°
Positions (direct):
Ge 0.000 0.000 0.000
Si 0.362 0.362 0.724
Si 0.638 0.638 0.276
Tc 0.250 0.750 0.500
Tc 0.750 0.250 0.500



Entry from the Alexandria database: a crystal of SiGeTe2 relaxed with PBEsol (meta-GGA SCAN).

Computed properties:
Its space-group type is R-3m (166). For the formation energy from raw total energies, the calculation gives 394 meV per atom. As for the energy above the lowest structure with this stoichiometry: 0 meV per atom.

a = 3.753 Å, b = 3.753 Å, c = 9.219 Å
α = 78.26°, β = 78.26°, γ = 60.00°
Positions (direct):
Ge 0.000 0.000 0.000
Te 0.893 0.893 0.321
Te 0.107 0.107 0.679
Si 0.500 0.500 0.500



Entry from the Alexandria database: a crystal of SiGeTe2 relaxed with PBEsol (meta-GGA SCAN).

Computed properties:
Its space-group type is I-42d (122). For the formation energy from raw total energies, the calculation gives 403 meV per atom. As for the energy above the lowest structure with this stoichiometry: 9 meV per atom.

a = 6.474 Å, b = 6.474 Å, c = 6.474 Å
α = 108.01°, β = 110.21°, γ = 110.21°
Positions (direct):
Ge 0.000 0.000 0.000
Ge 0.500 0.750 0.250
Te 0.985 0.610 0.125
Te 0.015 0.140 0.625
Te 0.515 0.375 0.390
Te 0.485 0.875 0.860
Si 0.000 0.500 0.500
Si 0.500 0.250 0.750



Entry from the Alexandria database: a crystal of V10Si3Ge3 relaxed with PBEsol (meta-GGA SCAN).

Computed properties:
Its space-group type is Fmm2 (42). For the formation energy from raw total energies, the calculation gives -510 meV per atom. As for the energy above the lowest structure with this stoichiometry: 0 meV per atom.

a = 4.745 Å, b = 7.022 Å, c = 7.046 Å
α = 83.47°, β = 70.32°, γ = 70.25°
Positions (direct):
V 0.230 0.347 0.193
V 0.771 0.650 0.808
V 0.271 0.804 0.654
V 0.731 0.195 0.342
V 0.075 0.196 0.654
V 0.926 0.805 0.342
V 0.577 0.653 0.193
V 0.421 0.350 0.808
V 0.246 0.000 0.004
V 0.750 0.000 0.004
Si 0.334 0.000 0.332
Si 0.835 0.331 0.999
Si 0.166 0.669 0.999
Ge 0.750 0.500 0.500
Ge 0.250 0.500 0.500
Ge 0.666 0.000 0.669



Entry from the Alexandria database: a crystal of V10Si3Ge3 relaxed with PBEsol (meta-GGA SCAN).

Computed properties:
Its space-group type is P-62m (189). For the formation energy from raw total energies, the calculation gives -474 meV per atom. As for the energy above the lowest structure with this stoichiometry: 35 meV per atom.

a = 4.801 Å, b = 7.126 Å, c = 7.126 Å
α = 120.00°, β = 90.00°, γ = 90.00°
Positions (direct):
V 0.248 0.333 0.667
V 0.248 0.667 0.333
V 0.752 0.667 0.333
V 0.752 0.333 0.667
V 0.500 0.259 0.000
V 0.500 0.741 0.741
V 0.500 0.000 0.259
V 0.000 0.780 0.000
V 0.000 0.220 0.220
V 0.000 0.000 0.780
Si 0.000 0.399 0.000
Si 0.000 0.601 0.601
Si 0.000 0.000 0.399
Ge 0.500 0.612 0.000
Ge 0.500 0.388 0.388
Ge 0.500 0.000 0.612



Entry from the Alexandria database: a crystal of SiGeW2 relaxed with PBEsol (meta-GGA SCAN).

Computed properties:
Its space-group type is Fm-3m (225). For the formation energy from raw total energies, the calculation gives 364 meV per atom.

a = 4.339 Å, b = 4.339 Å, c = 4.339 Å
α = 60.00°, β = 60.00°, γ = 60.00°
Positions (direct):
Ge 0.500 0.500 0.500
Si 0.000 0.000 0.000
W 0.250 0.250 0.250
W 0.750 0.750 0.750



Entry from the Alexandria database: a crystal of Y10Si3Ge3 relaxed with PBEsol (meta-GGA SCAN).

Computed properties:
Its space-group type is P-62m (189). For the formation energy from raw total energies, the calculation gives -857 meV per atom.

a = 6.309 Å, b = 8.391 Å, c = 8.391 Å
α = 120.00°, β = 90.00°, γ = 90.00°
Positions (direct):
Y 0.748 0.667 0.333
Y 0.748 0.333 0.667
Y 0.252 0.333 0.667
Y 0.252 0.667 0.333
Y 0.000 0.000 0.757
Y 0.000 0.757 0.000
Y 0.000 0.243 0.243
Y 0.500 0.000 0.242
Y 0.500 0.242 0.000
Y 0.500 0.758 0.758
Si 0.500 0.000 0.605
Si 0.500 0.605 0.000
Si 0.500 0.395 0.395
Ge 0.000 0.000 0.395
Ge 0.000 0.395 0.000
Ge 0.000 0.605 0.605



Entry from the Alexandria database: a crystal of ZnSi2Ge relaxed with PBEsol (meta-GGA SCAN).

Computed properties:
Its space-group type is Fm-3m (225). For the formation energy from raw total energies, the calculation gives 613 meV per atom.

a = 4.484 Å, b = 4.484 Å, c = 4.484 Å
α = 60.00°, β = 60.00°, γ = 60.00°
Positions (direct):
Ge 0.500 0.500 0.500
Si 0.250 0.250 0.250
Si 0.750 0.750 0.750
Zn 0.000 0.000 0.000



Record-wise size of the total moment values, in μB/cell: 0.0; 0.0; 0.0; 0.0; 0.0; 0.0; 0.0; 0.0; 0.0; 0.0; 0.0; 0.0; 0.0